Record 1
DFT (PBE) results for a relaxed structure of SrLa3H.

## Properties
Fermi-level density of states (states/eV/cell): 7.489
Total DFT energy (no corrections) (eV for the cell shown): -20.21

Geometry as CIF:
```
data_SrLa3H
_symmetry_space_group_name_H-M 'P 1'
_symmetry_Int_Tables_number 1
_cell_length_a 5.400
_cell_length_b 5.400
_cell_length_c 5.400
_cell_angle_alpha 90.00
_cell_angle_beta 90.00
_cell_angle_gamma 90.00
loop_
_symmetry_equiv_pos_as_xyz
'x,y,z'
loop_
_atom_site_label
_atom_site_fract_x
_atom_site_fract_y
_atom_site_fract_z
Sr1 0.500 0.500 0.500
H1 0.000 0.000 0.000
La1 0.000 0.500 0.000
La2 0.000 0.000 0.500
La3 0.500 0.000 0.000
```


Record 2
DFT (PBE) results for a relaxed structure of SrLaH2.

## Properties
Fermi-level density of states (states/eV/cell): 3.084
Total DFT energy (no corrections) (eV for the cell shown): -28.93

Geometry as CIF:
```
data_SrLaH2
_symmetry_space_group_name_H-M 'P 1'
_symmetry_Int_Tables_number 1
_cell_length_a 5.678
_cell_length_b 5.678
_cell_length_c 6.943
_cell_angle_alpha 65.86
_cell_angle_beta 65.86
_cell_angle_gamma 90.00
loop_
_symmetry_equiv_pos_as_xyz
'x,y,z'
loop_
_atom_site_label
_atom_site_fract_x
_atom_site_fract_y
_atom_site_fract_z
Sr1 0.500 0.500 0.000
Sr2 0.250 0.750 0.500
H1 0.654 0.125 0.250
H2 0.096 0.625 0.250
H3 0.375 0.346 0.750
H4 0.875 0.904 0.750
La1 0.000 0.000 0.000
La2 0.750 0.250 0.500
```